Crystalline Mn5Pb3Cl16 at its relaxed geometry, computed with PBE.

Lattice parameters (Å, degrees): 8.095 8.095 11.929 88.55 88.55 58.51
Each line ends with the local moment (μB).
Fractional positions:
Cl: 0.174 0.174 0.897  -0.07
Cl: 0.955 0.489 0.657  -0.01
Cl: 0.018 0.018 0.687  -0.06
Cl: 0.645 0.645 0.906  -0.06
Cl: 0.489 0.955 0.657  -0.01
Cl: 0.480 0.480 0.140  -0.03
Cl: 0.197 0.653 0.904  -0.04
Cl: 0.519 0.519 0.659  -0.03
Cl: 0.653 0.197 0.904  -0.04
Cl: 0.358 0.843 0.399  0.05
Cl: 0.042 0.473 0.146  0.00
Cl: 0.308 0.308 0.412  0.03
Cl: 0.473 0.042 0.146  0.00
Cl: 0.843 0.358 0.399  0.05
Cl: 0.821 0.821 0.437  0.02
Cl: 0.030 0.030 0.167  0.03
Mn: 0.338 0.829 0.791  -4.45
Mn: 0.658 0.658 0.524  4.43
Mn: 0.175 0.175 0.279  4.44
Mn: 0.329 0.329 0.010  -4.45
Mn: 0.829 0.338 0.791  -4.45
Pb: 0.671 0.168 0.293  0.01
Pb: 0.829 0.829 0.789  -0.01
Pb: 0.168 0.671 0.293  0.01

Values from the calculation:
For the calculated total energy, the calculation gives -112.2 eV per cell. The calculation puts the formation energy from raw total energies at -1.069 eV per atom.